VASP calculation (PBE-GGA) on an optimized crystal structure of ZrPa.

abc: 6.1297 6.1297 6.1297
angles: 90.00 90.00 90.00
Closest atoms and distances in Å follow each position.
Space group F-43m (No. 216)
Symmetry-distinct sites (fractional):
Zr 0.0000 0.0000 0.0000 [4 per cell]  4 Pa 2.65
Pa 0.2500 0.2500 0.2500 [4 per cell]  4 Zr 2.65

Computed properties:
spin magnetization	0.01	μB per formula unit
formation enthalpy at 0 K	1.965	eV/atom
energy relative to the lowest polymorph listed for this composition	1939	meV/atom

VASP calculation (PBE-GGA) on an optimized crystal structure of ZrPa.

abc: 6.4672 5.5023 5.4519
angles: 90.00 90.00 90.00
Closest atoms and distances in Å follow each position.
Space group Pbcm (No. 57)
Symmetry-distinct sites (fractional):
Zr 0.1102 0.0845 0.2500 [4 per cell]  6 Zr 3.10-3.28, 6 Pa 3.20-3.37
Pa 0.3839 0.5798 0.2500 [4 per cell]  6 Pa 3.13-3.31, 6 Zr 3.20-3.37

Computed properties:
spin magnetization	0.00	μB per formula unit
formation enthalpy at 0 K	0.089	eV/atom
energy relative to the lowest polymorph listed for this composition	63	meV/atom

VASP calculation (PBE-GGA) on an optimized crystal structure of ZrPa.

abc: 6.3716 6.3716 5.5175
angles: 90.00 90.00 120.00
Closest atoms and distances in Å follow each position.
Space group P-6m2 (No. 187)
Symmetry-distinct sites (fractional):
Zr 0.0000 0.0000 0.0000 [1 per cell]  6 Pa 3.19, 6 Zr 3.32
Zr 0.1671 0.3342 0.5000 [3 per cell]  6 Zr 3.18-3.32, 6 Pa 3.19-3.31
Pa 0.0032 0.5016 0.0000 [3 per cell]  6 Pa 3.16-3.33, 6 Zr 3.19-3.31
Pa 0.6667 0.3333 0.5000 [1 per cell]  6 Zr 3.19, 6 Pa 3.33

Computed properties:
spin magnetization	0.00	μB per formula unit
formation enthalpy at 0 K	0.122	eV/atom
energy relative to the lowest polymorph listed for this composition	96	meV/atom

VASP calculation (PBE-GGA) on an optimized crystal structure of ZrPa.

abc: 5.3628 13.2157 5.4664
angles: 90.00 90.00 90.00
Closest atoms and distances in Å follow each position.
Space group Pmmn (No. 59, origin choice 2)
Symmetry-distinct sites (fractional):
Zr 0.2500 0.1296 0.2182 [4 per cell]  5 Zr 3.16-3.18, 7 Pa 3.21-3.43
Zr 0.2500 0.2500 0.7174 [2 per cell]  6 Zr 3.16-3.44, 6 Pa 3.29
Zr 0.2500 0.7500 0.6754 [2 per cell]  6 Zr 3.17-3.44, 6 Pa 3.26-3.33
Pa 0.2500 0.0014 0.7195 [4 per cell]  3 Pa 2.91-3.12, 4 Zr 3.21-3.22
Pa 0.2500 0.6136 0.1726 [4 per cell]  3 Pa 2.91-3.12, 1 Zr 3.22

Computed properties:
spin magnetization	0.01	μB per formula unit
formation enthalpy at 0 K	0.075	eV/atom
energy relative to the lowest polymorph listed for this composition	49	meV/atom

VASP calculation (PBE-GGA) on an optimized crystal structure of Zr2Pa.

abc: 9.3165 5.8178 5.2659
angles: 90.00 90.00 90.00
Closest atoms and distances in Å follow each position.
Space group Cmcm (No. 63)
Symmetry-distinct sites (fractional):
Zr 0.1707 0.1339 0.2500 [8 per cell]  7 Zr 3.06-3.31, 5 Pa 3.07-3.39
Pa 0.0000 0.3767 0.7500 [4 per cell]  2 Pa 3.00, 4 Zr 3.07-3.26

Computed properties:
spin magnetization	0.00	μB per formula unit
formation enthalpy at 0 K	0.062	eV/atom
energy relative to the lowest polymorph listed for this composition	35	meV/atom

VASP calculation (PBE-GGA) on an optimized crystal structure of Zr4Pa3.

abc: 8.4516 8.4516 5.4707
angles: 90.00 90.00 120.00
Closest atoms and distances in Å follow each position.
Space group P6_3/m (No. 176)
Symmetry-distinct sites (fractional):
Zr 0.0497 0.2351 0.2500 [6 per cell]  7 Zr 3.14-3.28, 5 Pa 3.19-3.36
Zr 0.3333 0.6667 0.2500 [2 per cell]  3 Zr 3.21, 9 Pa 3.23-3.26
Pa 0.1021 0.4869 0.7500 [6 per cell]  4 Pa 3.08-3.30, 8 Zr 3.19-3.36

Computed properties:
spin magnetization	0.01	μB per formula unit
formation enthalpy at 0 K	0.095	eV/atom

VASP calculation (PBE-GGA) on an optimized crystal structure of ZrPa.

abc: 5.8898 5.8898 5.8898
angles: 90.00 90.00 90.00
Closest atoms and distances in Å follow each position.
Space group Fm-3m (No. 225)
Symmetry-distinct sites (fractional):
Zr 0.0000 0.0000 0.0000 [4 per cell]  6 Pa 2.94
Pa 0.0000 0.0000 0.5000 [4 per cell]  6 Zr 2.94

Computed properties:
spin magnetization	0.01	μB per formula unit
formation enthalpy at 0 K	1.033	eV/atom
energy relative to the lowest polymorph listed for this composition	1007	meV/atom

VASP calculation (PBE-GGA) on an optimized crystal structure of ZrPa.

abc: 5.5249 6.3606 5.5127
angles: 90.00 90.00 90.00
Closest atoms and distances in Å follow each position.
Space group Pmm2 (No. 25)
Symmetry-distinct sites (fractional):
Zr 0.0000 0.0000 0.0000 [1 per cell]  6 Zr 3.18-3.33, 6 Pa 3.18-3.29
Zr 0.0000 0.2492 0.4993 [2 per cell]  6 Pa 3.16-3.33, 6 Zr 3.17-3.31
Zr 0.5000 0.0000 0.6619 [1 per cell]  6 Pa 3.16-3.18, 6 Zr 3.31-3.33
Pa 0.0000 0.5000 0.0039 [1 per cell]  6 Zr 3.16-3.21, 6 Pa 3.33-3.36
Pa 0.5000 0.2434 0.1627 [2 per cell]  6 Pa 3.10-3.33, 6 Zr 3.16-3.33
Pa 0.5000 0.5000 0.6570 [1 per cell]  6 Pa 3.18-3.36, 6 Zr 3.18-3.31

Computed properties:
spin magnetization	0.00	μB per formula unit
formation enthalpy at 0 K	0.110	eV/atom
energy relative to the lowest polymorph listed for this composition	84	meV/atom